Density functional theory data (GGA-PBE) for an optimized crystal structure of Zn3CuP.

Cell: 4.5537 4.5537 4.5537 Å, 90.00 90.00 90.00°
Element x y z (fractional)
1 Zn 0.0000 0.0000 0.5000
2 Zn 0.0000 0.5000 0.0000
3 Zn 0.5000 0.0000 0.0000
4 Cu 0.0000 0.0000 0.0000
5 P 0.5000 0.5000 0.5000

Results
* theoretical density: 5113 kg/m³
* space group: Pm-3m
* ΔH_f (0 K): 2.86 eV per formula unit